No. 1
Below is CaPmHg2 after structural relaxation, with properties calculated at the PBE level.

```
data_CaPmHg2
_space_group_name_H-M_alt 'P 1'
_space_group_IT_number 1
_cell_length_a 3.9734
_cell_length_b 3.9734
_cell_length_c 26.8146
_cell_angle_alpha 90.00
_cell_angle_beta 90.00
_cell_angle_gamma 120.00
loop_
_space_group_symop_operation_xyz
'x,y,z'
loop_
_atom_site_label
_atom_site_fract_x
_atom_site_fract_y
_atom_site_fract_z
Ca1 0.0000 0.0000 0.0000
Ca2 0.3333 0.6667 0.6667
Ca3 0.6667 0.3333 0.3333
Pm1 0.0000 0.0000 0.5000
Pm2 0.3333 0.6667 0.1667
Pm3 0.6667 0.3333 0.8333
Hg1 0.0000 0.0000 0.2493
Hg2 0.0000 0.0000 0.7507
Hg3 0.3333 0.6667 0.4174
Hg4 0.3333 0.6667 0.9159
Hg5 0.6667 0.3333 0.0841
Hg6 0.6667 0.3333 0.5826
```

***

No. 2
Below is CaPmHg after structural relaxation, with properties calculated at the PBE level.

## Properties
distance to the lowest polymorph of the same formula	0.000	eV/atom

```
data_CaPmHg
_space_group_name_H-M_alt 'P 1'
_space_group_IT_number 1
_cell_length_a 3.7345
_cell_length_b 3.7345
_cell_length_c 13.4926
_cell_angle_alpha 90.00
_cell_angle_beta 90.00
_cell_angle_gamma 90.00
loop_
_space_group_symop_operation_xyz
'x,y,z'
loop_
_atom_site_label
_atom_site_fract_x
_atom_site_fract_y
_atom_site_fract_z
Ca1 0.0000 0.0000 0.0000
Ca2 0.5000 0.5000 0.5000
Pm1 0.0000 0.0000 0.2834
Pm2 0.5000 0.5000 0.7834
Hg1 0.0000 0.0000 0.6441
Hg2 0.5000 0.5000 0.1441
```

***

No. 3
Below is Ca4PmHg5 after structural relaxation, with properties calculated at the PBE level.

```
data_Ca4PmHg5
_space_group_name_H-M_alt 'P 1'
_space_group_IT_number 1
_cell_length_a 3.7980
_cell_length_b 3.7980
_cell_length_c 18.9526
_cell_angle_alpha 90.00
_cell_angle_beta 90.00
_cell_angle_gamma 90.00
loop_
_space_group_symop_operation_xyz
'x,y,z'
loop_
_atom_site_label
_atom_site_fract_x
_atom_site_fract_y
_atom_site_fract_z
Ca1 0.0000 0.0000 0.1002
Ca2 0.0000 0.0000 0.2993
Ca3 0.0000 0.0000 0.7007
Ca4 0.0000 0.0000 0.8998
Pm1 0.0000 0.0000 0.5000
Hg1 0.5000 0.5000 0.0000
Hg2 0.5000 0.5000 0.1994
Hg3 0.5000 0.5000 0.4005
Hg4 0.5000 0.5000 0.5995
Hg5 0.5000 0.5000 0.8006
```

***

No. 4
Below is CaPm2Hg6 after structural relaxation, with properties calculated at the PBE level.

```
data_CaPm2Hg6
_space_group_name_H-M_alt 'P 1'
_space_group_IT_number 1
_cell_length_a 8.7008
_cell_length_b 8.7008
_cell_length_c 3.5024
_cell_angle_alpha 90.00
_cell_angle_beta 90.00
_cell_angle_gamma 120.00
loop_
_space_group_symop_operation_xyz
'x,y,z'
loop_
_atom_site_label
_atom_site_fract_x
_atom_site_fract_y
_atom_site_fract_z
Ca1 0.0000 0.0000 0.0000
Pm1 0.3333 0.6667 0.0000
Pm2 0.6667 0.3333 0.0000
Hg1 0.0000 0.3322 0.5000
Hg2 0.0000 0.6678 0.5000
Hg3 0.3322 0.0000 0.5000
Hg4 0.3322 0.3322 0.5000
Hg5 0.6678 0.0000 0.5000
Hg6 0.6678 0.6678 0.5000
```

***

No. 5
Below is Ca4PmHg2 after structural relaxation, with properties calculated at the PBE level.

```
data_Ca4PmHg2
_space_group_name_H-M_alt 'P 1'
_space_group_IT_number 1
_cell_length_a 9.4673
_cell_length_b 9.4673
_cell_length_c 9.4673
_cell_angle_alpha 35.11
_cell_angle_beta 35.11
_cell_angle_gamma 35.11
loop_
_space_group_symop_operation_xyz
'x,y,z'
loop_
_atom_site_label
_atom_site_fract_x
_atom_site_fract_y
_atom_site_fract_z
Ca1 0.1135 0.1135 0.1135
Ca2 0.2725 0.2725 0.2725
Ca3 0.7275 0.7275 0.7275
Ca4 0.8865 0.8865 0.8865
Pm1 0.5000 0.5000 0.5000
Hg1 0.3889 0.3889 0.3889
Hg2 0.6111 0.6111 0.6111
```

***

No. 6
Below is Ca3PmHg6 after structural relaxation, with properties calculated at the PBE level.

```
data_Ca3PmHg6
_space_group_name_H-M_alt 'P 1'
_space_group_IT_number 1
_cell_length_a 9.2799
_cell_length_b 5.2804
_cell_length_c 11.2437
_cell_angle_alpha 90.00
_cell_angle_beta 106.01
_cell_angle_gamma 90.00
loop_
_space_group_symop_operation_xyz
'x,y,z'
loop_
_atom_site_label
_atom_site_fract_x
_atom_site_fract_y
_atom_site_fract_z
Ca1 0.0285 0.2500 0.3931
Ca2 0.1497 0.7500 0.1998
Ca3 0.2640 0.2500 0.9994
Ca4 0.7360 0.7500 0.0006
Ca5 0.8503 0.2500 0.8002
Ca6 0.9715 0.7500 0.6069
Pm1 0.4385 0.2500 0.6181
Pm2 0.5615 0.7500 0.3819
Hg1 0.0423 0.7500 0.9047
Hg2 0.1426 0.2500 0.7033
Hg3 0.2614 0.7500 0.4909
Hg4 0.3433 0.2500 0.3187
Hg5 0.3568 0.7500 0.7955
Hg6 0.4362 0.7500 0.0912
Hg7 0.5638 0.2500 0.9088
Hg8 0.6432 0.2500 0.2045
Hg9 0.6567 0.7500 0.6813
Hg10 0.7386 0.2500 0.5091
Hg11 0.8574 0.7500 0.2967
Hg12 0.9577 0.2500 0.0953
```

***

No. 7
Below is CaPm4Hg4 after structural relaxation, with properties calculated at the PBE level.

```
data_CaPm4Hg4
_space_group_name_H-M_alt 'P 1'
_space_group_IT_number 1
_cell_length_a 9.9283
_cell_length_b 9.9283
_cell_length_c 6.1110
_cell_angle_alpha 90.00
_cell_angle_beta 90.00
_cell_angle_gamma 90.00
loop_
_space_group_symop_operation_xyz
'x,y,z'
loop_
_atom_site_label
_atom_site_fract_x
_atom_site_fract_y
_atom_site_fract_z
Ca1 0.2500 0.2500 0.2500
Ca2 0.7500 0.7500 0.7500
Pm1 0.0895 0.6591 0.1552
Pm2 0.1591 0.9105 0.6552
Pm3 0.3409 0.5895 0.6552
Pm4 0.4105 0.8409 0.1552
Pm5 0.5895 0.1591 0.8448
Pm6 0.6591 0.4105 0.3448
Pm7 0.8409 0.0895 0.3448
Pm8 0.9105 0.3409 0.8448
Hg1 0.0230 0.6136 0.6562
Hg2 0.1136 0.9770 0.1562
Hg3 0.3864 0.5230 0.1562
Hg4 0.4770 0.8864 0.6562
Hg5 0.5230 0.1136 0.3438
Hg6 0.6136 0.4770 0.8438
Hg7 0.8864 0.0230 0.8438
Hg8 0.9770 0.3864 0.3438
```

***

No. 8
Below is CaPmPrHg after structural relaxation, with properties calculated at the PBE level.

## Properties
distance to the lowest polymorph of the same formula	0.000	eV/atom

```
data_CaPmPrHg
_space_group_name_H-M_alt 'P 1'
_space_group_IT_number 1
_cell_length_a 3.7032
_cell_length_b 3.7032
_cell_length_c 9.4761
_cell_angle_alpha 90.00
_cell_angle_beta 90.00
_cell_angle_gamma 90.00
loop_
_space_group_symop_operation_xyz
'x,y,z'
loop_
_atom_site_label
_atom_site_fract_x
_atom_site_fract_y
_atom_site_fract_z
Ca1 0.0000 0.0000 0.0000
Pm1 0.0000 0.0000 0.5818
Pr1 0.5000 0.5000 0.3127
Hg1 0.5000 0.5000 0.7925
```

***

No. 9
Below is CaPmPrHg after structural relaxation, with properties calculated at the PBE level.

## Properties
distance to the lowest polymorph of the same formula	0.150	eV/atom

```
data_CaPmPrHg
_space_group_name_H-M_alt 'P 1'
_space_group_IT_number 1
_cell_length_a 7.9188
_cell_length_b 7.9188
_cell_length_c 7.9188
_cell_angle_alpha 90.00
_cell_angle_beta 90.00
_cell_angle_gamma 90.00
loop_
_space_group_symop_operation_xyz
'x,y,z'
loop_
_atom_site_label
_atom_site_fract_x
_atom_site_fract_y
_atom_site_fract_z
Ca1 0.0000 0.0000 0.0000
Ca2 0.0000 0.5000 0.5000
Ca3 0.5000 0.0000 0.5000
Ca4 0.5000 0.5000 0.0000
Pm1 0.2500 0.2500 0.7500
Pm2 0.2500 0.7500 0.2500
Pm3 0.7500 0.2500 0.2500
Pm4 0.7500 0.7500 0.7500
Pr1 0.2500 0.2500 0.2500
Pr2 0.2500 0.7500 0.7500
Pr3 0.7500 0.2500 0.7500
Pr4 0.7500 0.7500 0.2500
Hg1 0.0000 0.0000 0.5000
Hg2 0.0000 0.5000 0.0000
Hg3 0.5000 0.0000 0.0000
Hg4 0.5000 0.5000 0.5000
```

***

No. 10
Below is CaPmPrHg after structural relaxation, with properties calculated at the PBE level.

## Properties
distance to the lowest polymorph of the same formula	0.240	eV/atom

```
data_CaPmPrHg
_space_group_name_H-M_alt 'P 1'
_space_group_IT_number 1
_cell_length_a 7.9339
_cell_length_b 7.9339
_cell_length_c 7.9339
_cell_angle_alpha 90.00
_cell_angle_beta 90.00
_cell_angle_gamma 90.00
loop_
_space_group_symop_operation_xyz
'x,y,z'
loop_
_atom_site_label
_atom_site_fract_x
_atom_site_fract_y
_atom_site_fract_z
Ca1 0.0000 0.0000 0.0000
Ca2 0.0000 0.5000 0.5000
Ca3 0.5000 0.0000 0.5000
Ca4 0.5000 0.5000 0.0000
Pm1 0.2500 0.2500 0.7500
Pm2 0.2500 0.7500 0.2500
Pm3 0.7500 0.2500 0.2500
Pm4 0.7500 0.7500 0.7500
Pr1 0.0000 0.0000 0.5000
Pr2 0.0000 0.5000 0.0000
Pr3 0.5000 0.0000 0.0000
Pr4 0.5000 0.5000 0.5000
Hg1 0.2500 0.2500 0.2500
Hg2 0.2500 0.7500 0.7500
Hg3 0.7500 0.2500 0.7500
Hg4 0.7500 0.7500 0.2500
```

***

No. 11
Below is CaPmPr2Hg4 after structural relaxation, with properties calculated at the PBE level.

```
data_CaPmPr2Hg4
_space_group_name_H-M_alt 'P 1'
_space_group_IT_number 1
_cell_length_a 9.3818
_cell_length_b 9.3818
_cell_length_c 9.3818
_cell_angle_alpha 33.61
_cell_angle_beta 33.61
_cell_angle_gamma 33.61
loop_
_space_group_symop_operation_xyz
'x,y,z'
loop_
_atom_site_label
_atom_site_fract_x
_atom_site_fract_y
_atom_site_fract_z
Ca1 0.0000 0.0000 0.0000
Pm1 0.5000 0.5000 0.5000
Pr1 0.2524 0.2524 0.2524
Pr2 0.7476 0.7476 0.7476
Hg1 0.1260 0.1260 0.1260
Hg2 0.3762 0.3762 0.3762
Hg3 0.6238 0.6238 0.6238
Hg4 0.8740 0.8740 0.8740
```

***

No. 12
Below is CaPmHgRu after structural relaxation, with properties calculated at the PBE level.

```
data_CaPmHgRu
_space_group_name_H-M_alt 'P 1'
_space_group_IT_number 1
_cell_length_a 7.2252
_cell_length_b 7.2252
_cell_length_c 7.2252
_cell_angle_alpha 90.00
_cell_angle_beta 90.00
_cell_angle_gamma 90.00
loop_
_space_group_symop_operation_xyz
'x,y,z'
loop_
_atom_site_label
_atom_site_fract_x
_atom_site_fract_y
_atom_site_fract_z
Ca1 0.0000 0.0000 0.0000
Ca2 0.0000 0.5000 0.5000
Ca3 0.5000 0.0000 0.5000
Ca4 0.5000 0.5000 0.0000
Pm1 0.0000 0.0000 0.5000
Pm2 0.0000 0.5000 0.0000
Pm3 0.5000 0.0000 0.0000
Pm4 0.5000 0.5000 0.5000
Hg1 0.2500 0.2500 0.2500
Hg2 0.2500 0.7500 0.7500
Hg3 0.7500 0.2500 0.7500
Hg4 0.7500 0.7500 0.2500
Ru1 0.2500 0.2500 0.7500
Ru2 0.2500 0.7500 0.2500
Ru3 0.7500 0.2500 0.2500
Ru4 0.7500 0.7500 0.7500
```

***

Energy in eV per atom, matching the order above: -2.20; -2.66; -1.97; -1.91; -2.03; -1.73; -2.71; -3.20; -3.05; -2.96; -2.70; -4.24
Magnetic moment in μB/f.u., matching the order above: 0.00; 0.18; 0.09; 0.01; 0.00; 0.00; 0.00; 0.00; 0.00; 1.12; 0.00; 0.00